Record 1
This record from Alexandria via LeMat-Bulk describes a relaxed Er4SbSeS2 crystal. The functional is PBE-GGA.

Properties
* N(E_F): 6.35 states/eV/cell
* total moment: 0.00 Bohr magnetons per cell
* raw formation energy: -1.65 eV per atom

a = 8.0720 Å, b = 8.0719 Å, c = 8.0889 Å
α = 120.07°, β = 120.07°, γ = 89.99°
Sites, in units of the cell vectors:
Er: 0.2747 0.7527 0.0137
Er: 0.7473 0.2254 0.4864
Er: 0.2526 0.7746 0.5136
Er: 0.7255 0.2474 0.9864
Er: 0.7430 0.7570 0.0233
Er: 0.7429 0.7570 0.4767
Er: 0.2570 0.2430 0.5232
Er: 0.2570 0.2430 0.9768
Sb: 0.5001 0.5000 0.5000
Sb: 0.0000 0.9999 0.9999
Se: 0.0000 0.5000 0.0000
Se: 0.0000 0.5000 0.5000
S: 0.5000 0.0000 0.0000
S: 0.5000 0.0000 0.5001
S: 0.0001 0.0000 0.5000
S: 0.5000 0.4999 0.9999



Record 2
This record from Alexandria via LeMat-Bulk describes a relaxed SrSn2Au5 crystal. The functional is PBE-GGA.

Properties
* N(E_F): 3.11 states/eV/cell
* total moment: 0.00 Bohr magnetons per cell
* energy of formation: -2.87 eV per formula unit

a = 4.3441 Å, b = 7.2089 Å, c = 7.2089 Å
α = 62.06°, β = 72.46°, γ = 72.46°
Sites, in units of the cell vectors:
Sr: 0.0000 0.0000 0.0000
Sn: 0.7554 0.7446 0.7446
Sn: 0.2446 0.2554 0.2554
Au: 0.0000 0.5000 0.5000
Au: 0.6244 0.5728 0.1783
Au: 0.3756 0.4272 0.8217
Au: 0.3756 0.8217 0.4272
Au: 0.6244 0.1783 0.5728



Record 3
This record from Alexandria via LeMat-Bulk describes a relaxed La3BiN crystal. The functional is PBE-GGA.

Properties
* N(E_F): 6.81 states/eV/cell
* total moment: 1.97 Bohr magnetons per cell
* raw formation energy: -0.76 eV per atom

a = 8.4015 Å, b = 8.4015 Å, c = 8.4015 Å
α = 48.48°, β = 48.48°, γ = 48.48°
Each line ends with the local moment (μB).
Sites, in units of the cell vectors:
N: 0.1614 0.1614 0.1614  -0.03
N: 0.8386 0.8386 0.8386  -0.03
Bi: 0.3419 0.3419 0.3419  0.00
Bi: 0.6581 0.6581 0.6581  0.00
La: 0.4338 0.0754 0.8001  0.16
La: 0.0754 0.8001 0.4338  0.15
La: 0.1999 0.5662 0.9246  0.14
La: 0.9246 0.1999 0.5662  0.15
La: 0.5662 0.9246 0.1999  0.16
La: 0.8001 0.4338 0.0754  0.14



Record 4
This record from Alexandria via LeMat-Bulk describes a relaxed Tb3Dy6Y2 crystal. The functional is PBE-GGA.

Properties
* polymorph energy (0 for the lowest one): 0.268 eV/atom
* N(E_F): 17.31 states/eV/cell
* total moment: 0.00 Bohr magnetons per cell
* energy of formation: 3.15 eV per formula unit

a = 4.7133 Å, b = 4.7133 Å, c = 17.0060 Å
α = 97.97°, β = 97.97°, γ = 90.00°
Sites, in units of the cell vectors:
Tb: 0.0000 0.0000 0.0000
Tb: 0.7996 0.7996 0.5992
Tb: 0.2004 0.2004 0.4008
Dy: 0.1220 0.6220 0.2441
Dy: 0.6220 0.1220 0.2441
Dy: 0.8780 0.3780 0.7559
Dy: 0.3780 0.8780 0.7559
Dy: 0.6969 0.6969 0.3939
Dy: 0.3031 0.3031 0.6061
Y: 0.4538 0.4538 0.9077
Y: 0.5462 0.5462 0.0923



Record 5
This record from Alexandria via LeMat-Bulk describes a relaxed Na2CaAl3Au12 crystal. The functional is PBE-GGA.

Properties
* N(E_F): 6.52 states/eV/cell
* total moment: 0.00 Bohr magnetons per cell
* energy of formation: -4.61 eV per formula unit

a = 7.0924 Å, b = 7.0924 Å, c = 7.0924 Å
α = 85.37°, β = 85.37°, γ = 85.37°
Sites, in units of the cell vectors:
Na: 0.6071 0.6071 0.6071
Na: 0.3929 0.3929 0.3929
Ca: 0.0000 0.0000 0.0000
Al: 0.5000 0.0000 0.0000
Al: 0.0000 0.5000 0.0000
Al: 0.0000 0.0000 0.5000
Au: 0.3642 0.3642 0.9669
Au: 0.8005 0.8005 0.3130
Au: 0.3130 0.8005 0.8005
Au: 0.9669 0.3642 0.3642
Au: 0.8005 0.3130 0.8005
Au: 0.3642 0.9669 0.3642
Au: 0.6358 0.6358 0.0331
Au: 0.1995 0.1995 0.6870
Au: 0.6870 0.1995 0.1995
Au: 0.0331 0.6358 0.6358
Au: 0.1995 0.6870 0.1995
Au: 0.6358 0.0331 0.6358



Record 6
This record from Alexandria via LeMat-Bulk describes a relaxed Er5Tm4Al crystal. The functional is PBE-GGA.

Properties
* N(E_F): 13.58 states/eV/cell
* total moment: 0.00 Bohr magnetons per cell
* energy of formation: -0.60 eV per formula unit

a = 3.4882 Å, b = 3.4882 Å, c = 23.7813 Å
α = 90.00°, β = 90.00°, γ = 90.00°
Sites, in units of the cell vectors:
Er: 0.5000 0.5000 0.0802
Er: 0.5000 0.5000 0.2907
Er: 0.5000 0.5000 0.5000
Er: 0.5000 0.5000 0.7093
Er: 0.5000 0.5000 0.9198
Tm: 0.0000 0.0000 0.1869
Tm: 0.0000 0.0000 0.3956
Tm: 0.0000 0.0000 0.6044
Tm: 0.0000 0.0000 0.8131
Al: 0.0000 0.0000 0.0000



Record 7
This record from Alexandria via LeMat-Bulk describes a relaxed La2NdDyP4 crystal. The functional is PBE-GGA.

Properties
* N(E_F): 0.70 states/eV/cell
* total moment: 0.00 Bohr magnetons per cell
* energy of formation: -12.51 eV per formula unit

a = 4.1843 Å, b = 7.2441 Å, c = 7.2407 Å
α = 70.56°, β = 90.00°, γ = 90.00°
Sites, in units of the cell vectors:
La: 0.0000 0.0000 0.0000
La: 0.5000 0.0000 0.5000
Nd: 0.5000 0.5000 0.0000
Dy: 0.0000 0.5000 0.5000
P: 0.0000 0.7424 0.7481
P: 0.0000 0.2576 0.2519
P: 0.5000 0.7395 0.2577
P: 0.5000 0.2605 0.7423



Record 8
This record from Alexandria via LeMat-Bulk describes a relaxed Sc3SbC crystal. The functional is PBE-GGA.

Properties
* N(E_F): 12.14 states/eV/cell
* total moment: 0.00 Bohr magnetons per cell
* raw formation energy: 0.69 eV per atom

a = 4.7782 Å, b = 4.7782 Å, c = 11.5402 Å
α = 78.05°, β = 78.05°, γ = 90.00°
Sites, in units of the cell vectors:
Sc: 0.6456 0.8783 0.2433
Sc: 0.1217 0.3544 0.7567
Sc: 0.1217 0.8889 0.7567
Sc: 0.1111 0.8783 0.2433
Sc: 0.3149 0.3149 0.3702
Sc: 0.6851 0.6851 0.6298
Sb: 0.0000 0.0000 0.0000
Sb: 0.2500 0.7500 0.5000
C: 0.6441 0.1441 0.7119
C: 0.8559 0.3559 0.2881



Record 9
This record from Alexandria via LeMat-Bulk describes a relaxed TlSiIN2 crystal. The functional is PBE-GGA.

Properties
* polymorph energy (0 for the lowest one): 0.000 eV/atom
* N(E_F): 2.25 states/eV/cell
* total moment: 0.31 Bohr magnetons per cell
* raw formation energy: 1.10 eV per atom

a = 3.9317 Å, b = 3.9317 Å, c = 5.8850 Å
α = 90.00°, β = 90.00°, γ = 90.00°
Each line ends with the local moment (μB).
Sites, in units of the cell vectors:
I: 0.0000 0.0000 0.5000  0.00
Tl: 0.5000 0.5000 0.5000  0.00
Si: 0.0000 0.0000 0.0000  -0.01
N: 0.0000 0.5000 0.0000  0.12
N: 0.5000 0.0000 0.0000  0.12



Record 10
This record from Alexandria via LeMat-Bulk describes a relaxed MgNiWS4 crystal. The functional is PBE-GGA.

Properties
* N(E_F): 6.89 states/eV/cell
* total moment: 1.78 Bohr magnetons per cell
* raw formation energy: -0.57 eV per atom

a = 7.2180 Å, b = 7.2568 Å, c = 7.2568 Å
α = 56.04°, β = 60.18°, γ = 60.18°
Each line ends with the local moment (μB).
Sites, in units of the cell vectors:
Ni: 0.4922 0.4947 0.4947  0.67
Ni: 0.0175 0.4951 0.4951  0.66
S: 0.7785 0.7325 0.7325  0.03
S: 0.2717 0.2484 0.7074  0.04
S: 0.2717 0.7074 0.2483  0.04
S: 0.7093 0.2562 0.2562  0.06
S: 0.7287 0.3139 0.7289  0.04
S: 0.2571 0.7319 0.7319  0.03
S: 0.2792 0.2556 0.2556  0.06
S: 0.7287 0.7289 0.3139  0.04
Mg: 0.8534 0.8971 0.8971  0.00
Mg: 0.1174 0.1326 0.1326  0.00
W: 0.4972 0.5454 0.9603  -0.05
W: 0.4972 0.9603 0.5454  -0.05



Record 11
This record from Alexandria via LeMat-Bulk describes a relaxed RbCe3Sm2Te6 crystal. The functional is PBE-GGA.

Properties
* N(E_F): 23.97 states/eV/cell
* total moment: 3.61 Bohr magnetons per cell
* raw formation energy: -1.31 eV per atom

a = 4.4961 Å, b = 9.2725 Å, c = 10.2063 Å
α = 103.13°, β = 102.72°, γ = 90.00°
Each line ends with the local moment (μB).
Sites, in units of the cell vectors:
Rb: 0.5000 0.0000 0.0000  0.00
Ce: 0.5000 0.5000 0.0000  0.95
Ce: 0.8378 0.1714 0.6756  1.07
Ce: 0.1622 0.8286 0.3244  1.07
Sm: 0.8288 0.6560 0.6576  0.01
Sm: 0.1712 0.3440 0.3424  0.01
Te: 0.3258 0.9071 0.6515  -0.01
Te: 0.6659 0.5827 0.3317  -0.01
Te: 0.6742 0.0929 0.3485  -0.01
Te: 0.0053 0.2698 0.0107  -0.02
Te: 0.9947 0.7302 0.9893  -0.02
Te: 0.3341 0.4173 0.6683  -0.01



Record 12
This record from Alexandria via LeMat-Bulk describes a relaxed SbMo2Ir crystal. The functional is PBE-GGA.

Properties
* N(E_F): 2.90 states/eV/cell
* total moment: 1.95 Bohr magnetons per cell
* raw formation energy: 0.31 eV per atom

a = 4.5638 Å, b = 4.5638 Å, c = 4.5638 Å
α = 60.00°, β = 60.00°, γ = 60.00°
Each line ends with the local moment (μB).
Sites, in units of the cell vectors:
Ir: 0.5000 0.5000 0.5000  0.38
Mo: 0.0000 0.0000 0.0000  -0.11
Mo: 0.2500 0.2500 0.2500  1.44
Sb: 0.7500 0.7500 0.7500  0.05



Record 13
This record from Alexandria via LeMat-Bulk describes a relaxed BeMo3P crystal. The functional is PBE-GGA.

Properties
* polymorph energy (0 for the lowest one): 0.000 eV/atom
* N(E_F): 8.87 states/eV/cell
* total moment: 0.00 Bohr magnetons per cell
* energy of formation: 4.22 eV per formula unit

a = 4.4245 Å, b = 4.4245 Å, c = 4.4245 Å
α = 90.00°, β = 90.00°, γ = 90.00°
Sites, in units of the cell vectors:
P: 0.0000 0.0000 0.0000
Mo: 0.0000 0.5000 0.0000
Mo: 0.0000 0.0000 0.5000
Mo: 0.5000 0.0000 0.0000
Be: 0.5000 0.5000 0.5000



Record 14
This record from Alexandria via LeMat-Bulk describes a relaxed TiSnS2 crystal. The functional is PBE-GGA.

Properties
* N(E_F): 2.48 states/eV/cell
* total moment: 0.00 Bohr magnetons per cell
* raw formation energy: -0.75 eV per atom

a = 4.8037 Å, b = 9.6507 Å, c = 7.7351 Å
α = 90.00°, β = 90.00°, γ = 90.00°
Sites, in units of the cell vectors:
S: 0.4302 0.8463 0.0750
S: 0.5698 0.1537 0.5750
S: 0.0698 0.3463 0.5750
S: 0.9302 0.6537 0.0750
S: 0.9922 0.9148 0.7299
S: 0.0078 0.0852 0.2299
S: 0.5078 0.4148 0.2299
S: 0.4922 0.5852 0.7299
Sn: 0.0889 0.3420 0.9236
Sn: 0.9111 0.6580 0.4236
Sn: 0.4111 0.8420 0.4236
Sn: 0.5889 0.1580 0.9236
Ti: 0.9318 0.9072 0.0212
Ti: 0.0682 0.0928 0.5212
Ti: 0.5682 0.4072 0.5212
Ti: 0.4318 0.5928 0.0212



Record 15
This record from Alexandria via LeMat-Bulk describes a relaxed KLiPbF4 crystal. The functional is PBE-GGA.

Properties
* N(E_F): 0.00 states/eV/cell
* total moment: 0.00 Bohr magnetons per cell
* raw formation energy: -2.61 eV per atom

a = 5.9533 Å, b = 5.8496 Å, c = 7.3725 Å
α = 90.00°, β = 108.94°, γ = 90.00°
Sites, in units of the cell vectors:
K: 0.7131 0.7500 0.9360
K: 0.2869 0.2500 0.0640
Li: 0.2395 0.7500 0.3026
Li: 0.7605 0.2500 0.6974
Pb: 0.7832 0.7500 0.4576
Pb: 0.2168 0.2500 0.5424
F: 0.9700 0.4926 0.7254
F: 0.0300 0.9926 0.2746
F: 0.0300 0.5074 0.2746
F: 0.9700 0.0074 0.7254
F: 0.4429 0.7500 0.1591
F: 0.5571 0.2500 0.8409
F: 0.4413 0.7500 0.5625
F: 0.5587 0.2500 0.4375



Record 16
This record from Alexandria via LeMat-Bulk describes a relaxed Zr4TaTc crystal. The functional is PBE-GGA.

Properties
* N(E_F): 10.96 states/eV/cell
* total moment: 0.00 Bohr magnetons per cell
* energy of formation: 3.53 eV per formula unit

a = 5.6012 Å, b = 5.6012 Å, c = 5.6012 Å
α = 60.00°, β = 60.00°, γ = 60.00°
Sites, in units of the cell vectors:
Zr: 0.3750 0.8750 0.3750
Zr: 0.8750 0.3750 0.3750
Zr: 0.3750 0.3750 0.8750
Zr: 0.3750 0.3750 0.3750
Ta: 0.7500 0.7500 0.7500
Tc: 0.0000 0.0000 0.0000



Record 17
This record from Alexandria via LeMat-Bulk describes a relaxed CaNb2CuCl crystal. The functional is PBE-GGA.

Properties
* N(E_F): 4.30 states/eV/cell
* total moment: 0.00 Bohr magnetons per cell
* raw formation energy: 1.90 eV per atom

a = 4.9319 Å, b = 4.9429 Å, c = 4.9319 Å
α = 90.00°, β = 90.00°, γ = 90.00°
Sites, in units of the cell vectors:
Nb: 0.0000 0.0000 0.5000
Nb: 0.5000 0.0000 0.0000
Ca: 0.0000 0.0000 0.0000
Cu: 0.5000 0.5000 0.5000
Cl: 0.0000 0.5000 0.0000



Record 18
This record from Alexandria via LeMat-Bulk describes a relaxed CrCuPd2 crystal. The functional is PBE-GGA.

Properties
* N(E_F): 3.94 states/eV/cell
* total moment: 1.74 Bohr magnetons per cell
* energy of formation: 0.29 eV per formula unit

a = 2.7346 Å, b = 2.7346 Å, c = 8.7488 Å
α = 81.01°, β = 81.01°, γ = 60.00°
Each line ends with the local moment (μB).
Sites, in units of the cell vectors:
Cr: 0.6667 0.6667 0.0000  1.47
Cu: 0.5000 0.5000 0.5001  0.03
Pd: 0.0819 0.0819 0.7544  0.06
Pd: 0.2515 0.2515 0.2454  0.06



Record 19
This record from Alexandria via LeMat-Bulk describes a relaxed Pr3Nd6Sm crystal. The functional is PBE-GGA.

Properties
* polymorph energy (0 for the lowest one): 0.075 eV/atom
* N(E_F): 18.11 states/eV/cell
* total moment: 0.00 Bohr magnetons per cell
* energy of formation: 2.05 eV per formula unit

a = 6.9809 Å, b = 9.2070 Å, c = 6.7879 Å
α = 104.36°, β = 120.94°, γ = 90.00°
Sites, in units of the cell vectors:
Pr: 0.9209 0.3324 0.8418
Pr: 0.0791 0.6676 0.1582
Pr: 0.0000 0.0000 0.0000
Nd: 0.4252 0.3012 0.3742
Nd: 0.0510 0.6988 0.6258
Nd: 0.5748 0.6988 0.6258
Nd: 0.9490 0.3012 0.3742
Nd: 0.3744 0.0816 0.7487
Nd: 0.6256 0.9184 0.2513
Sm: 0.5000 0.5000 0.0000



Record 20
This record from Alexandria via LeMat-Bulk describes a relaxed TeWCl2 crystal. The functional is PBE-GGA.

Properties
* polymorph energy (0 for the lowest one): 1.335 eV/atom
* N(E_F): 3.86 states/eV/cell
* total moment: 1.13 Bohr magnetons per cell
* raw formation energy: 1.05 eV per atom

a = 5.4577 Å, b = 5.4577 Å, c = 3.0039 Å
α = 90.00°, β = 90.00°, γ = 114.17°
Each line ends with the local moment (μB).
Sites, in units of the cell vectors:
Te: 0.5000 0.0000 0.5000  -0.11
W: 0.0000 0.5000 0.5000  1.06
Cl: 0.0000 0.0000 0.0000  -0.03
Cl: 0.5000 0.5000 0.0000  -0.03



Record 21
This record from Alexandria via LeMat-Bulk describes a relaxed KLi2I crystal. The functional is PBE-GGA.

Properties
* polymorph energy (0 for the lowest one): 0.193 eV/atom
* N(E_F): 1.38 states/eV/cell
* total moment: 0.00 Bohr magnetons per cell
* raw formation energy: -0.16 eV per atom

a = 5.8383 Å, b = 5.8383 Å, c = 5.8383 Å
α = 60.00°, β = 60.00°, γ = 60.00°
Sites, in units of the cell vectors:
I: 0.5000 0.5000 0.5000
K: 0.0000 0.0000 0.0000
Li: 0.2500 0.2500 0.2500
Li: 0.7500 0.7500 0.7500



Record 22
This record from Alexandria via LeMat-Bulk describes a relaxed Sc2Mn3Ir crystal. The functional is PBE-GGA.

Properties
* N(E_F): 5.28 states/eV/cell
* total moment: 1.89 Bohr magnetons per cell
* energy of formation: -2.52 eV per formula unit

a = 4.8973 Å, b = 4.8973 Å, c = 5.1896 Å
α = 91.99°, β = 118.31°, γ = 117.43°
Each line ends with the local moment (μB).
Sites, in units of the cell vectors:
Sc: 0.7525 0.3754 0.1279  -0.12
Sc: 0.2475 0.6246 0.8721  -0.12
Mn: 0.5000 0.5000 0.5000  2.18
Mn: 0.0000 0.0000 0.5000  2.18
Mn: 0.5000 0.0000 0.5000  -2.22
Ir: 0.0000 0.0000 0.0000  0.05



Record 23
This record from Alexandria via LeMat-Bulk describes a relaxed La3Pm5Er3 crystal. The functional is PBE-GGA.

Properties
* N(E_F): 20.86 states/eV/cell
* total moment: 0.05 Bohr magnetons per cell
* energy of formation: 7.95 eV per formula unit

a = 5.5576 Å, b = 9.6497 Å, c = 9.6497 Å
α = 120.00°, β = 90.00°, γ = 90.00°
Sites, in units of the cell vectors:
La: 0.0000 0.6173 0.0000
La: 0.0000 0.0000 0.6173
La: 0.0000 0.3827 0.3827
Pm: 0.5000 0.6667 0.3333
Pm: 0.5000 0.3333 0.6667
Pm: 0.5000 0.3826 0.0000
Pm: 0.5000 0.6174 0.6174
Pm: 0.5000 0.0000 0.3826
Er: 0.5000 0.7737 0.0000
Er: 0.5000 0.2263 0.2263
Er: 0.5000 0.0000 0.7737